Computed, not measured: Pa5Se5O2 after structural relaxation at the PBE level of DFT.

a b c (Å): 6.773 6.773 10.819
angles (deg): 107.70 107.70 33.48
Fractional positions:
1 Pa 0.000 0.000 0.000
2 Pa 0.098 0.098 0.381
3 Pa 0.343 0.343 0.216
4 Pa 0.657 0.657 0.784
5 Pa 0.902 0.902 0.619
6 Se 0.249 0.249 0.645
7 Se 0.331 0.331 0.941
8 Se 0.500 0.500 0.500
9 Se 0.669 0.669 0.059
10 Se 0.751 0.751 0.355
11 O 0.047 0.047 0.798
12 O 0.953 0.953 0.202

Calculated values
**Calculated density**: 10.12 g/cm3
**Uncorrected formation energy**: -1.723 eV/atom
**Total magnetization**: 1.85 μB/f.u.

Computed, not measured: SrHgOs after structural relaxation at the PBE level of DFT.

a b c (Å): 3.257 3.257 7.408
angles (deg): 90.00 90.00 120.00
Fractional positions:
1 Sr 0.000 0.000 0.000
2 Hg 0.333 0.667 0.377
3 Os 0.667 0.333 0.680

Calculated values
**Calculated density**: 11.68 g/cm3
**Total magnetization**: 0.59 μB/f.u.
**ΔH_f (0 K)**: 2.7 eV per formula unit

Computed, not measured: SrPAu after structural relaxation at the PBE level of DFT.

a b c (Å): 4.482 6.129 6.197
angles (deg): 91.33 90.27 111.37
Fractional positions:
1 Sr 0.134 0.271 0.252
2 Sr 0.866 0.729 0.748
3 P 0.151 0.298 0.757
4 P 0.849 0.702 0.243
5 Au 0.413 0.829 0.304
6 Au 0.587 0.171 0.696

Calculated values
**Calculated density**: 6.61 g/cm3
**Total magnetization**: 0.00 μB/f.u.
**ΔH_f (0 K)**: -2.4 eV per formula unit

Computed, not measured: YMg2Au after structural relaxation at the PBE level of DFT.

a b c (Å): 3.423 3.423 7.757
angles (deg): 90.00 90.00 90.00
Fractional positions:
1 Y 0.000 0.000 0.000
2 Mg 0.500 0.500 0.302
3 Mg 0.500 0.500 0.698
4 Au 0.000 0.000 0.500

Calculated values
**Calculated density**: 6.11 g/cm3
**Total magnetization**: 0.19 μB/f.u.
**ΔH_f (0 K)**: -1.4 eV per formula unit

Computed, not measured: TaZnSe after structural relaxation at the PBE level of DFT.

a b c (Å): 4.382 4.382 3.299
angles (deg): 90.00 90.00 120.00
Fractional positions:
1 Ta 0.000 0.000 0.000
2 Zn 0.333 0.667 0.500
3 Se 0.667 0.333 0.000

Calculated values
**Calculated density**: 9.85 g/cm3
**Uncorrected formation energy**: 0.108 eV/atom
**Total magnetization**: 0.00 μB/f.u.

Computed, not measured: Mg6ZnIn3 after structural relaxation at the PBE level of DFT.

a b c (Å): 12.563 3.248 12.699
angles (deg): 90.00 117.51 90.00
Fractional positions:
1 Mg 0.012 0.250 0.247
2 Mg 0.109 0.750 0.098
3 Mg 0.170 0.250 0.706
4 Mg 0.346 0.250 0.157
5 Mg 0.353 0.750 0.947
6 Mg 0.442 0.750 0.580
7 Mg 0.558 0.250 0.420
8 Mg 0.647 0.250 0.053
9 Mg 0.654 0.750 0.843
10 Mg 0.830 0.750 0.294
11 Mg 0.891 0.250 0.902
12 Mg 0.988 0.750 0.753
13 Zn 0.152 0.250 0.933
14 Zn 0.848 0.750 0.067
15 In 0.128 0.750 0.483
16 In 0.282 0.250 0.356
17 In 0.432 0.250 0.786
18 In 0.568 0.750 0.214
19 In 0.718 0.750 0.644
20 In 0.872 0.250 0.517

Calculated values
**Calculated density**: 4.02 g/cm3
**Total magnetization**: 0.00 μB/f.u.
**ΔH_f (0 K)**: -0.4 eV per formula unit

Computed, not measured: CeFeGe3Rh after structural relaxation at the PBE level of DFT.

a b c (Å): 6.686 6.686 5.818
angles (deg): 90.00 90.00 113.56
Fractional positions:
1 Ce 0.247 0.753 0.750
2 Ce 0.753 0.247 0.250
3 Fe 0.042 0.958 0.250
4 Fe 0.958 0.042 0.750
5 Ge 0.238 0.762 0.250
6 Ge 0.242 0.242 0.000
7 Ge 0.242 0.242 0.500
8 Ge 0.758 0.758 0.000
9 Ge 0.758 0.758 0.500
10 Ge 0.762 0.238 0.750
11 Rh 0.446 0.554 0.250
12 Rh 0.554 0.446 0.750

Calculated values
**Calculated density**: 7.20 g/cm3
**Total magnetization**: 2.06 μB/f.u.
**ΔH_f (0 K)**: -1.8 eV per formula unit

Computed, not measured: DyHoNb after structural relaxation at the PBE level of DFT.

a b c (Å): 13.707 13.707 3.475
angles (deg): 90.00 90.00 165.51
Fractional positions:
1 Dy 0.150 0.850 0.750
2 Dy 0.850 0.150 0.250
3 Ho 0.445 0.555 0.750
4 Ho 0.555 0.445 0.250
5 Nb 0.274 0.726 0.750
6 Nb 0.726 0.274 0.250

Calculated values
**Calculated density**: 8.55 g/cm3
**Total magnetization**: 0.14 μB/f.u.
**ΔH_f (0 K)**: 0.5 eV per formula unit

Computed, not measured: La2ScAs3Pt4 after structural relaxation at the PBE level of DFT.

a b c (Å): 4.311 4.311 11.054
angles (deg): 90.00 90.00 90.00
Fractional positions:
1 La 0.000 0.500 0.224
2 La 0.500 0.000 0.776
3 Sc 0.000 0.000 0.500
4 As 0.000 0.500 0.868
5 As 0.500 0.000 0.132
6 As 0.500 0.500 0.500
7 Pt 0.000 0.000 0.000
8 Pt 0.000 0.500 0.643
9 Pt 0.500 0.000 0.357
10 Pt 0.500 0.500 0.000

Calculated values
**Calculated density**: 10.74 g/cm3
**Total magnetization**: 0.00 μB/f.u.
**ΔH_f (0 K)**: -10.2 eV per formula unit

Computed, not measured: Cs2NiAsBr6 after structural relaxation at the PBE level of DFT.

a b c (Å): 7.590 7.590 7.590
angles (deg): 60.00 60.00 60.00
Fractional positions:
1 Cs 0.250 0.250 0.250
2 Cs 0.750 0.750 0.750
3 Ni 0.000 0.000 0.000
4 As 0.500 0.500 0.500
5 Br 0.244 0.244 0.756
6 Br 0.244 0.756 0.244
7 Br 0.244 0.756 0.756
8 Br 0.756 0.244 0.244
9 Br 0.756 0.244 0.756
10 Br 0.756 0.756 0.244

Calculated values
**Calculated density**: 4.72 g/cm3
**Uncorrected formation energy**: -0.882 eV/atom
**Total magnetization**: 1.00 μB/f.u.

Computed, not measured: HoSeI after structural relaxation at the PBE level of DFT.

a b c (Å): 4.215 5.635 10.455
angles (deg): 90.00 96.53 90.00
Fractional positions:
1 Ho 0.219 0.250 0.390
2 Ho 0.781 0.750 0.610
3 Se 0.229 0.750 0.424
4 Se 0.771 0.250 0.576
5 I 0.341 0.750 0.821
6 I 0.659 0.250 0.179

Calculated values
**Calculated density**: 4.99 g/cm3
**Uncorrected formation energy**: -1.687 eV/atom
**Total magnetization**: 0.00 μB/f.u.

Computed, not measured: Li3CaPb after structural relaxation at the PBE level of DFT.

a b c (Å): 3.734 4.924 7.545
angles (deg): 108.84 104.19 90.05
Fractional positions:
1 Li 0.000 0.000 0.000
2 Li 0.136 0.635 0.268
3 Li 0.457 0.455 0.913
4 Ca 0.752 0.251 0.502
5 Pb 0.339 0.839 0.677

Calculated values
**Calculated density**: 3.51 g/cm3
**Total magnetization**: 0.00 μB/f.u.
**ΔH_f (0 K)**: -1.0 eV per formula unit